[1]
{
  "formula": "BaPt",
  "functional": "GGA-PBE",
  "state": "relaxed",
  "delta_e_f_kj_per_mol_atoms": -47.4,
  "lattice": [[-3.110, 3.756, 2.360], [3.015, -3.320, 3.039], [4.857, 4.180, -0.252]],
  "species": ["Ba", "Pt", "Pt", "Ba"],
  "fractional_positions": [[0.667, 0.333, 0.435], [0.333, 0.667, 0.436], [0.667, 0.333, 0.936], [0.333, 0.667, 0.935]]
}

---

[2]
{
  "formula": "CePuAgO6",
  "functional": "GGA-PBE",
  "state": "relaxed",
  "raw_formation_energy_ev_per_atom": -2.2068,
  "lattice": [[-2.625, 3.439, -3.526], [2.207, -4.770, -1.878], [-8.576, -4.683, 1.818]],
  "species": ["Ag", "O", "O", "O", "O", "Pu", "O", "O", "Ce", "O", "O", "Ce", "O", "Pu", "O", "O", "O", "Ag"],
  "fractional_positions": [[0.667, 0.333, 0.750], [0.051, 0.691, 0.870], [0.309, 0.359, 0.870], [0.641, 0.691, 0.630], [0.359, 0.051, 0.130], [0.667, 0.333, 0.250], [0.359, 0.309, 0.370], [0.691, 0.051, 0.370], [0.000, 0.000, 0.000], [0.309, 0.949, 0.630], [0.691, 0.641, 0.130], [0.000, 0.000, 0.500], [0.051, 0.359, 0.630], [0.333, 0.667, 0.750], [0.949, 0.641, 0.370], [0.641, 0.949, 0.870], [0.949, 0.309, 0.130], [0.333, 0.667, 0.250]]
}

---

[3]
{
  "formula": "LaAl3Ag",
  "functional": "GGA-PBE",
  "state": "relaxed",
  "relative_energy_ev_per_atom": 0.148,
  "delta_e_f_kj_per_mol_atoms": -27.8,
  "lattice": [[-0.975, 3.673, -4.493], [0.352, -4.979, -4.146], [-5.710, 1.662, 2.597]],
  "species": ["Al", "La", "La", "Al", "Al", "Al", "Ag", "Al", "Al", "Ag"],
  "fractional_positions": [[0.750, 0.197, 0.394], [0.250, 0.333, 0.667], [0.750, 0.667, 0.333], [0.750, 0.606, 0.803], [0.250, 0.394, 0.197], [0.250, 0.803, 0.197], [0.000, 0.000, 0.000], [0.250, 0.803, 0.606], [0.750, 0.197, 0.803], [0.500, 0.000, 0.000]]
}

---

[4]
{
  "formula": "Tl2Cd5Hg2",
  "functional": "GGA-PBE",
  "state": "relaxed",
  "relative_energy_ev_per_atom": 0.051,
  "delta_e_f_kj_per_mol_atoms": 7.7,
  "lattice": [[7.536, 0.000, 0.000], [0.000, 7.717, -4.934], [0.000, -1.160, 9.086]],
  "species": ["Cd", "Cd", "Tl", "Hg", "Cd", "Cd", "Tl", "Tl", "Cd", "Cd", "Cd", "Tl", "Cd", "Cd", "Hg", "Hg", "Cd", "Hg"],
  "fractional_positions": [[0.843, 0.535, 0.795], [0.657, 0.295, 0.035], [0.000, 0.214, 0.786], [0.141, 0.642, 0.642], [0.000, 0.000, 0.000], [0.157, 0.465, 0.205], [0.000, 0.786, 0.214], [0.500, 0.286, 0.714], [0.343, 0.705, 0.965], [0.843, 0.795, 0.535], [0.343, 0.965, 0.705], [0.500, 0.714, 0.286], [0.157, 0.205, 0.465], [0.657, 0.035, 0.295], [0.859, 0.358, 0.358], [0.359, 0.142, 0.142], [0.500, 0.500, 0.500], [0.641, 0.858, 0.858]]
}

---

[5]
{
  "formula": "FeGeTe2",
  "functional": "GGA-PBE",
  "state": "relaxed",
  "raw_formation_energy_ev_per_atom": 0.2356,
  "lattice": [[2.066, 0.000, 9.009], [-1.033, 1.789, 9.009], [-1.033, -1.789, 9.009]],
  "species": ["Te", "Fe", "Ge", "Te"],
  "fractional_positions": [[0.889, 0.889, 0.889], [0.500, 0.500, 0.500], [0.000, 0.000, 0.000], [0.111, 0.111, 0.111]]
}

---

[6]
{
  "formula": "RbPmRe2N6",
  "functional": "GGA-PBE",
  "state": "relaxed",
  "raw_formation_energy_ev_per_atom": -0.3374,
  "lattice": [[-1.864, -1.096, 6.025], [-6.245, -4.793, -0.898], [4.261, -6.351, 2.068]],
  "species": ["Re", "N", "N", "N", "Rb", "Re", "N", "N", "N", "Rb", "N", "N", "N", "Pm", "N", "N", "Pm", "Re", "N", "Re"],
  "fractional_positions": [[0.688, 0.208, 0.376], [0.212, 0.003, 0.719], [0.897, 0.354, 0.309], [0.288, 0.281, 0.997], [0.750, 0.084, 0.916], [0.812, 0.624, 0.792], [0.860, 0.398, 0.812], [0.103, 0.646, 0.691], [0.603, 0.691, 0.646], [0.250, 0.916, 0.084], [0.397, 0.309, 0.354], [0.360, 0.812, 0.398], [0.140, 0.602, 0.188], [0.750, 0.698, 0.302], [0.712, 0.719, 0.003], [0.788, 0.997, 0.281], [0.250, 0.302, 0.698], [0.312, 0.792, 0.624], [0.640, 0.188, 0.602], [0.188, 0.376, 0.208]]
}

---

[7]
{
  "formula": "TbErAl",
  "functional": "GGA-PBE",
  "state": "relaxed",
  "relative_energy_ev_per_atom": 0.108,
  "delta_e_f_kj_per_mol_atoms": -14.0,
  "lattice": [[4.515, 0.000, -0.011], [0.000, 4.515, 0.011], [0.013, -0.013, 8.064]],
  "species": ["Tb", "Tb", "Al", "Er", "Al", "Er"],
  "fractional_positions": [[0.250, 0.250, 0.000], [0.750, 0.750, 0.000], [0.749, 0.251, 0.732], [0.249, 0.751, 0.642], [0.251, 0.749, 0.268], [0.751, 0.249, 0.358]]
}

---

[8]
{
  "formula": "ErThCdIn",
  "functional": "GGA-PBE",
  "state": "relaxed",
  "delta_e_f_kj_per_mol_atoms": -25.4,
  "lattice": [[-2.310, 4.475, -1.867], [-2.610, -0.083, -4.693], [-5.354, 0.417, -0.103]],
  "species": ["Cd", "Th", "Er", "In"],
  "fractional_positions": [[0.000, 0.000, 0.000], [0.250, 0.250, 0.250], [0.750, 0.750, 0.750], [0.500, 0.500, 0.500]]
}

---

[9]
{
  "formula": "Ac6RhSe3S2",
  "functional": "GGA-PBE",
  "state": "relaxed",
  "raw_formation_energy_ev_per_atom": -1.7125,
  "lattice": [[-3.803, -6.571, 0.691], [2.230, 2.385, -6.889], [6.804, -2.160, 2.863]],
  "species": ["Ac", "Ac", "Ac", "Rh", "S", "Se", "Se", "S", "Ac", "Ac", "Ac", "Se"],
  "fractional_positions": [[0.405, 0.078, 0.235], [0.595, 0.922, 0.765], [0.078, 0.405, 0.235], [0.000, 0.000, 0.000], [0.334, 0.666, 0.000], [0.829, 0.171, 0.500], [0.500, 0.500, 0.500], [0.666, 0.334, 0.000], [0.249, 0.249, 0.763], [0.751, 0.751, 0.237], [0.922, 0.595, 0.765], [0.171, 0.829, 0.500]]
}

---

[10]
{
  "formula": "Pm2NdSm3Y6",
  "functional": "GGA-PBE",
  "state": "relaxed",
  "delta_e_f_kj_per_mol_atoms": 1.1,
  "lattice": [[-5.725, 1.185, 2.235], [3.397, -4.669, 2.416], [5.355, 8.539, 6.280]],
  "species": ["Sm", "Pm", "Sm", "Nd", "Y", "Y", "Pm", "Y", "Y", "Sm", "Y", "Y"],
  "fractional_positions": [[0.500, 0.500, 0.500], [0.333, 0.667, 0.000], [0.167, 0.833, 0.500], [0.000, 0.000, 0.000], [0.417, 0.084, 0.251], [0.750, 0.750, 0.251], [0.667, 0.333, 0.000], [0.916, 0.583, 0.749], [0.250, 0.250, 0.749], [0.833, 0.167, 0.500], [0.583, 0.916, 0.749], [0.084, 0.417, 0.251]]
}

---

[11]
{
  "formula": "KCr2Tc",
  "functional": "GGA-PBE",
  "state": "relaxed",
  "relative_energy_ev_per_atom": 0.653,
  "delta_e_f_kj_per_mol_atoms": 139.0,
  "lattice": [[4.664, 0.000, 0.000], [2.332, 4.039, 0.000], [2.332, 1.346, 3.808]],
  "species": ["K", "Cr", "Tc", "Cr"],
  "fractional_positions": [[0.500, 0.500, 0.500], [0.250, 0.250, 0.250], [0.750, 0.750, 0.750], [0.000, 0.000, 0.000]]
}

---

[12]
{
  "formula": "K2CaMn",
  "functional": "GGA-PBE",
  "state": "relaxed",
  "relative_energy_ev_per_atom": 0.279,
  "delta_e_f_kj_per_mol_atoms": 72.9,
  "lattice": [[1.565, -3.833, -4.748], [3.831, -4.893, 1.034], [-2.271, -5.873, -0.187]],
  "species": ["K", "Mn", "Ca", "K"],
  "fractional_positions": [[0.250, 0.250, 0.250], [0.500, 0.500, 0.500], [0.000, 0.000, 0.000], [0.750, 0.750, 0.750]]
}

---

no.,V (Å³ per cell)
1,163.0
2,268.1
3,214.6
4,485.3
5,99.9
6,381.2
7,164.4
8,109.5
9,366.1
10,396.8
11,71.7
12,176.8